# 1
## Nd3Tl4InTe8 (GGA-PBE)

Data for crystalline Nd3Tl4InTe8 at its relaxed geometry. Values from VASP.

Structure (Quantum ESPRESSO input):
```
&SYSTEM
  ibrav = 0, nat = 16, ntyp = 4
/
ATOMIC_SPECIES
Nd 144.24 Nd.upf
Tl 204.38 Tl.upf
In 114.82 In.upf
Te 127.60 Te.upf
CELL_PARAMETERS angstrom
4.5491 2.6264 8.1085
-4.5491 2.6264 8.1085
0.0000 -5.2529 8.1085
ATOMIC_POSITIONS angstrom
Nd -2.2746 -1.3132 8.1085
Nd -2.2746 1.3132 16.2169
Nd 0.0000 2.6264 8.1085
Tl -4.5491 0.0000 12.1627
Tl -2.2746 1.3132 4.0542
Tl 2.2746 1.3132 4.0542
Tl 0.0000 0.0000 12.1627
In 0.0000 0.0000 0.0000
Te 0.0000 -2.6982 9.8664
Te -2.3367 1.3491 9.8664
Te -2.3367 -1.3491 14.4590
Te 0.0000 0.0000 6.3031
Te 0.0000 0.0000 18.0224
Te 2.3367 1.3491 9.8665
Te 2.3367 -1.3491 14.4590
Te 0.0000 2.6982 14.4590
```

---

# 2
## Nd4TlInTe2 (GGA-PBE)

Data for crystalline Nd4TlInTe2 at its relaxed geometry. Values from VASP.

Structure (Quantum ESPRESSO input):
```
&SYSTEM
  ibrav = 0, nat = 8, ntyp = 4
/
ATOMIC_SPECIES
Nd 144.24 Nd.upf
Tl 204.38 Tl.upf
In 114.82 In.upf
Te 127.60 Te.upf
CELL_PARAMETERS angstrom
7.4794 0.0000 0.0000
0.0000 4.3447 0.0000
-2.5298 0.0000 8.0255
ATOMIC_POSITIONS angstrom
Nd 1.2327 0.0000 1.9607
Nd -0.0319 2.1724 6.0628
Nd 4.9816 2.1724 1.9626
Nd 3.7169 0.0000 6.0648
Tl 2.4748 2.1724 4.0127
In -1.2649 0.0000 4.0127
Te 0.0000 2.1724 0.0000
Te 3.7397 0.0000 0.0000
```

---

# 3
## Nd2Tl3InTe6 (GGA-PBE)

Data for crystalline Nd2Tl3InTe6 at its relaxed geometry. Values from VASP.

Structure (Quantum ESPRESSO input):
```
&SYSTEM
  ibrav = 0, nat = 12, ntyp = 4
/
ATOMIC_SPECIES
Nd 144.24 Nd.upf
Tl 204.38 Tl.upf
In 114.82 In.upf
Te 127.60 Te.upf
CELL_PARAMETERS angstrom
3.9285 -6.7974 0.0000
3.9285 6.7974 0.0000
-2.6486 0.0000 8.1173
ATOMIC_POSITIONS angstrom
Nd 3.9285 4.5543 0.0000
Nd 3.9285 -4.5543 0.0000
Tl -1.3243 0.0000 4.0586
Tl 2.6042 2.3567 4.0586
Tl 2.6042 -2.3567 4.0586
In 3.9285 0.0000 0.0000
Te 0.0326 2.1775 6.3819
Te 1.3895 0.0000 1.8066
Te 0.0326 -2.1775 6.3819
Te 5.1759 2.1775 1.7354
Te 3.8190 0.0000 6.3107
Te 5.1759 -2.1775 1.7354
```

---

# 4
## NdTl2InTe4 (GGA-PBE)

Data for crystalline NdTl2InTe4 at its relaxed geometry. Values from VASP.

Structure (Quantum ESPRESSO input):
```
&SYSTEM
  ibrav = 0, nat = 16, ntyp = 4
/
ATOMIC_SPECIES
Nd 144.24 Nd.upf
Tl 204.38 Tl.upf
In 114.82 In.upf
Te 127.60 Te.upf
CELL_PARAMETERS angstrom
8.5059 0.0000 0.0000
0.0000 8.5059 0.0000
0.0000 0.0000 7.6709
ATOMIC_POSITIONS angstrom
Nd 0.0000 0.0000 0.0000
Nd 4.2529 4.2529 3.8355
Tl 0.0000 4.2529 0.0000
Tl 0.0000 4.2529 3.8355
Tl 4.2529 0.0000 0.0000
Tl 4.2529 0.0000 3.8355
In 0.0000 0.0000 3.8355
In 4.2529 4.2529 0.0000
Te 1.6114 1.6114 5.5662
Te 1.6114 6.8945 2.1047
Te 2.6415 2.6415 1.7307
Te 2.6415 5.8644 5.9402
Te 5.8644 2.6415 5.9402
Te 5.8644 5.8644 1.7307
Te 6.8945 1.6114 2.1047
Te 6.8945 6.8945 5.5662
```

---

For reference, calculated density by record: 6.8 7.3 6.8 7.1 g/cm³.
For reference, raw formation energy by record: -82.53 -86.48 -75.56 -61.38 kJ per mole of atoms.